Entry 1:
{"formula": "ZnCuAu2", "functional": "PBE-GGA", "state": "optimized geometry", "lattice": [[4.500, 0.000, 0.000], [0.000, 6.134, 0.000], [0.000, 0.000, 13.500]], "species": ["Au", "Au", "Au", "Au", "Au", "Au", "Au", "Au", "Au", "Au", "Au", "Au", "Cu", "Cu", "Cu", "Cu", "Cu", "Cu", "Zn", "Zn", "Zn", "Zn", "Zn", "Zn"], "fractional_positions": [[0.500, 0.250, 0.000], [0.500, 0.750, 0.000], [0.000, 0.250, 0.167], [0.000, 0.750, 0.167], [0.500, 0.250, 0.333], [0.500, 0.750, 0.333], [0.000, 0.250, 0.500], [0.000, 0.750, 0.500], [0.500, 0.250, 0.667], [0.500, 0.750, 0.667], [0.000, 0.250, 0.833], [0.000, 0.750, 0.833], [0.000, 0.000, 0.000], [0.500, 0.500, 0.167], [0.000, 0.000, 0.333], [0.500, 0.500, 0.500], [0.000, 0.000, 0.667], [0.500, 0.500, 0.833], [0.000, 0.500, 0.000], [0.500, 0.000, 0.167], [0.000, 0.500, 0.333], [0.500, 0.000, 0.500], [0.000, 0.500, 0.667], [0.500, 0.000, 0.833]], "e_form_ev_per_atom": -0.148, "e_tot_ev_per_cell": -72.6, "space_group": "I4/mmm"}

=====

Entry 2:
{"formula": "ErCdAg2", "functional": "PBE-GGA", "state": "optimized geometry", "lattice": [[-2.514, 4.016, -1.619], [-5.582, -3.644, -0.373], [-1.110, 1.216, 4.740]], "species": ["Ag", "Ag", "Ag", "Ag", "Cd", "Cd", "Er", "Er"], "fractional_positions": [[0.000, 0.254, 0.304], [0.000, 0.746, 0.304], [0.500, 0.246, 0.696], [0.500, 0.754, 0.696], [0.500, 0.000, 0.213], [0.000, 0.500, 0.787], [0.500, 0.500, 0.196], [0.000, 0.000, 0.804]], "e_form_ev_per_atom": -0.296, "e_tot_ev_per_cell": -24.6, "space_group": "Pmmn"}

=====

Entry 3:
{"formula": "RbLa2Cu3S5", "functional": "PBE-GGA", "state": "optimized geometry", "lattice": [[4.872, 2.034, 5.062], [-4.996, -4.890, -2.149], [12.379, -8.999, -8.298]], "species": ["Cu", "Cu", "Cu", "Cu", "Cu", "Cu", "La", "La", "La", "La", "Rb", "Rb", "S", "S", "S", "S", "S", "S", "S", "S", "S", "S"], "fractional_positions": [[0.081, 0.919, 0.041], [0.843, 0.157, 0.250], [0.081, 0.919, 0.459], [0.919, 0.081, 0.541], [0.157, 0.843, 0.750], [0.919, 0.081, 0.959], [0.309, 0.691, 0.093], [0.309, 0.691, 0.407], [0.691, 0.309, 0.593], [0.691, 0.309, 0.907], [0.567, 0.433, 0.250], [0.433, 0.567, 0.750], [0.660, 0.340, 0.068], [0.944, 0.056, 0.117], [0.266, 0.734, 0.250], [0.944, 0.056, 0.383], [0.660, 0.340, 0.432], [0.340, 0.660, 0.568], [0.056, 0.944, 0.617], [0.734, 0.266, 0.750], [0.056, 0.944, 0.883], [0.340, 0.660, 0.932]], "e_tot_ev_per_cell": -112.7, "space_group": "Cmcm"}

=====

Entry 4:
{"formula": "Zr4Sc2Sn3C3", "functional": "PBE-GGA", "state": "optimized geometry", "lattice": [[-4.399, 0.931, -3.751], [0.794, -0.917, -5.728], [-3.155, -14.007, 4.808]], "species": ["C", "C", "C", "C", "C", "C", "Sc", "Sc", "Sc", "Sc", "Sn", "Sn", "Sn", "Sn", "Sn", "Sn", "Zr", "Zr", "Zr", "Zr", "Zr", "Zr", "Zr", "Zr"], "fractional_positions": [[0.669, 0.162, 0.000], [0.000, 0.500, 0.000], [0.331, 0.838, 0.000], [0.162, 0.669, 0.500], [0.500, 0.000, 0.500], [0.838, 0.331, 0.500], [0.364, 0.528, 0.084], [0.472, 0.636, 0.416], [0.528, 0.364, 0.584], [0.636, 0.472, 0.916], [0.416, 0.251, 0.249], [0.084, 0.916, 0.250], [0.749, 0.584, 0.251], [0.251, 0.416, 0.749], [0.916, 0.084, 0.750], [0.584, 0.749, 0.751], [0.694, 0.858, 0.083], [0.025, 0.197, 0.083], [0.803, 0.975, 0.417], [0.142, 0.306, 0.417], [0.858, 0.694, 0.583], [0.197, 0.025, 0.583], [0.975, 0.803, 0.917], [0.306, 0.142, 0.917]], "e_tot_ev_per_cell": -191.5, "space_group": "C2/c"}

=====

Entry 5:
{"formula": "NaCuMoSe2S", "functional": "PBE-GGA", "state": "optimized geometry", "lattice": [[1.790, -6.840, 0.000], [1.790, 6.840, 0.000], [0.000, 0.000, 9.571]], "species": ["Cu", "Cu", "Mo", "Mo", "Na", "Na", "S", "S", "Se", "Se", "Se", "Se"], "fractional_positions": [[0.966, 0.034, 0.250], [0.034, 0.966, 0.750], [0.500, 0.500, 0.000], [0.500, 0.500, 0.500], [0.243, 0.757, 0.250], [0.757, 0.243, 0.750], [0.570, 0.430, 0.250], [0.430, 0.570, 0.750], [0.864, 0.136, 0.047], [0.864, 0.136, 0.453], [0.136, 0.864, 0.547], [0.136, 0.864, 0.953]], "e_tot_ev_per_cell": -59.7, "space_group": "Cmcm"}

=====

Entry 6:
{"formula": "HoCuGe", "functional": "PBE-GGA", "state": "optimized geometry", "lattice": [[-6.705, -0.382, -1.240], [2.952, -4.479, 4.227], [-0.731, 2.518, 3.178]], "species": ["Cu", "Cu", "Cu", "Ge", "Ge", "Ge", "Ho", "Ho", "Ho"], "fractional_positions": [[0.243, 0.000, 0.000], [0.000, 0.243, 0.000], [0.757, 0.757, 0.000], [0.667, 0.333, 0.000], [0.333, 0.667, 0.000], [0.000, 0.000, 0.500], [0.578, 0.000, 0.500], [0.422, 0.422, 0.500], [0.000, 0.578, 0.500]], "e_tot_ev_per_cell": -44.6, "space_group": "P-62m"}

=====

Entry 7:
{"formula": "Nd3Sm2Bi3", "functional": "PBE-GGA", "state": "optimized geometry", "lattice": [[9.438, 0.000, 0.000], [-4.719, 8.173, 0.000], [0.000, 0.000, 6.553]], "species": ["Bi", "Bi", "Bi", "Bi", "Bi", "Bi", "Nd", "Nd", "Nd", "Nd", "Nd", "Nd", "Sm", "Sm", "Sm", "Sm"], "fractional_positions": [[0.390, 0.000, 0.250], [0.000, 0.390, 0.250], [0.610, 0.610, 0.250], [0.610, 0.000, 0.750], [0.390, 0.390, 0.750], [0.000, 0.610, 0.750], [0.754, 0.000, 0.250], [0.246, 0.246, 0.250], [0.000, 0.754, 0.250], [0.246, 0.000, 0.750], [0.000, 0.246, 0.750], [0.754, 0.754, 0.750], [0.667, 0.333, 0.000], [0.333, 0.667, 0.000], [0.667, 0.333, 0.500], [0.333, 0.667, 0.500]], "e_tot_ev_per_cell": -84.3, "space_group": "P6_3/mcm"}

=====

Entry 8:
{"formula": "PaNb3O4", "functional": "PBE-GGA", "state": "optimized geometry", "lattice": [[1.335, -4.677, 3.475], [-4.618, -0.853, 3.698], [0.154, 0.586, -5.947]], "species": ["Nb", "Nb", "Nb", "O", "O", "O", "O", "Pa"], "fractional_positions": [[0.500, 0.500, 0.000], [0.750, 0.250, 0.500], [0.250, 0.750, 0.500], [0.886, 0.415, 0.000], [0.415, 0.886, 0.000], [0.585, 0.585, 0.471], [0.114, 0.114, 0.529], [0.000, 0.000, 0.000]], "e_tot_ev_per_cell": -70.2, "space_group": "I-42m"}